w:
Here is an optimized crystal structure of ZnMoCl from Alexandria. Energies are from PBEsol.

Values from the calculation:
As for the calculated volume: 16.7 Å³/atom.

Unit cell a=2.9365 b=2.9867 c=6.7300 alpha=83.84 beta=77.40 gamma=60.55
With the nearest neighbours (Å) after each atom.
Fractional positions:
1 Mo 0.3386 0.0000 0.3228  2 Cl 2.42, 2 Zn 2.58
2 Zn 0.6768 0.0000 0.6465  2 Mo 2.58
3 Cl 0.9846 0.0000 0.0307  2 Mo 2.42

---

x:
Here is an optimized crystal structure of ZnMoCl from Alexandria. Energies are from PBEsol.

Values from the calculation:
As for the calculated volume: 16.4 Å³/atom.

Unit cell a=4.1170 b=4.1170 c=4.1170 alpha=60.00 beta=60.00 gamma=60.00
With the nearest neighbours (Å) after each atom.
Fractional positions:
1 Mo 0.0000 0.0000 0.0000  4 Cl 2.52
2 Zn 0.5000 0.5000 0.5000  4 Cl 2.52
3 Cl 0.2500 0.2500 0.2500  4 Mo 2.52, 4 Zn 2.52

---

It is x that is the least stable of them.

---

w:
Here is an optimized crystal structure of ZrMoCl2 from Alexandria. Energies are from PBEsol.

Values from the calculation:
As for the calculated volume: 15.4 Å³/atom.

Unit cell a=4.4296 b=4.4296 c=4.4296 alpha=60.00 beta=60.00 gamma=60.00
With the nearest neighbours (Å) after each atom.
Fractional positions:
1 Mo 0.0000 0.0000 0.0000  8 Cl 2.71
2 Zr 0.5000 0.5000 0.5000  8 Cl 2.71
3 Cl 0.2500 0.2500 0.2500  4 Mo 2.71, 4 Zr 2.71
4 Cl 0.7500 0.7500 0.7500  4 Mo 2.71, 4 Zr 2.71

---

x:
Here is an optimized crystal structure of ZrMoCl2 from Alexandria. Energies are from PBEsol.

Values from the calculation:
As for the calculated volume: 17.2 Å³/atom.

Unit cell a=3.0453 b=3.0453 c=8.7633 alpha=79.99 beta=79.99 gamma=60.00
With the nearest neighbours (Å) after each atom.
Fractional positions:
1 Mo 0.0000 0.0000 0.0000  2 Cl 2.39
2 Zr 0.5000 0.5000 0.5000  6 Cl 2.59
3 Cl 0.9072 0.9072 0.2784  1 Mo 2.39, 3 Zr 2.59
4 Cl 0.0928 0.0928 0.7216  1 Mo 2.39, 3 Zr 2.59

---

y:
Here is an optimized crystal structure of ZrMoCl2 from Alexandria. Energies are from PBEsol.

Values from the calculation:
As for the calculated volume: 21.9 Å³/atom.

Unit cell a=3.1689 b=4.4631 c=6.4213 alpha=95.03 beta=104.29 gamma=90.00
With the nearest neighbours (Å) after each atom.
Fractional positions:
1 Mo 0.5000 0.0000 0.0000  2 Cl 2.40
2 Zr 0.0000 0.5000 0.0000  4 Cl 2.64, 4 Mo 2.74
3 Cl 0.3433 0.2779 0.6866  1 Mo 2.40, 2 Zr 2.64
4 Cl 0.6567 0.7221 0.3134  1 Mo 2.40, 2 Zr 2.64

---

It is w that is the least stable of them.

---

w:
Here is an optimized crystal structure of NaNCl3 from Alexandria. Energies are from PBEsol.

Values from the calculation:
As for the calculated volume: 29.1 Å³/atom.

Unit cell a=5.2577 b=5.2577 c=5.2577 alpha=90.00 beta=90.00 gamma=90.00
With the nearest neighbours (Å) after each atom.
Fractional positions:
1 Na 0.0000 0.0000 0.0000  6 Cl 2.63
2 N 0.5000 0.5000 0.5000  12 Cl 3.72
3 Cl 0.0000 0.5000 0.0000  2 Na 2.63
4 Cl 0.0000 0.0000 0.5000  2 Na 2.63
5 Cl 0.5000 0.0000 0.0000  2 Na 2.63

---

x:
Here is an optimized crystal structure of NaNCl3 from Alexandria. Energies are from PBEsol.

Values from the calculation:
As for the calculated volume: 17.6 Å³/atom.

Unit cell a=4.4494 b=4.4494 c=4.4494 alpha=90.00 beta=90.00 gamma=90.00
With the nearest neighbours (Å) after each atom.
Fractional positions:
1 Na 0.5000 0.5000 0.5000  12 Cl 3.15
2 N 0.0000 0.0000 0.0000  6 Cl 2.22
3 Cl 0.0000 0.5000 0.0000  2 N 2.22
4 Cl 0.0000 0.0000 0.5000  2 N 2.22
5 Cl 0.5000 0.0000 0.0000  2 N 2.22

---

It is w that is the least stable of them.

---

w:
Here is an optimized crystal structure of NaZr2SN2Cl from Alexandria. Energies are from PBEsol.

Values from the calculation:
As for the calculated volume: 16.2 Å³/atom.

Unit cell a=6.3159 b=7.2522 c=10.0906 alpha=90.00 beta=101.75 gamma=90.00
With the nearest neighbours (Å) after each atom.
Fractional positions:
1 Na 0.2382 0.3757 0.9926  3 Cl 2.71-2.80, 3 S 2.74-2.83
2 Na 0.7382 0.1243 0.9926  3 Cl 2.71-2.80, 3 S 2.74-2.83
3 Na 0.2618 0.8757 0.0074  3 Cl 2.71-2.80, 3 S 2.74-2.83
4 Na 0.7618 0.6243 0.0074  3 Cl 2.71-2.80, 3 S 2.74-2.83
5 Zr 0.9722 0.1330 0.6319  4 N 2.14-2.17
6 Zr 0.0541 0.3808 0.3732  4 N 2.11-2.16
7 Zr 0.4459 0.8808 0.6268  4 N 2.11-2.16
8 Zr 0.5541 0.1192 0.3732  4 N 2.11-2.16
9 Zr 0.9459 0.6192 0.6268  4 N 2.11-2.16
10 Zr 0.0278 0.8670 0.3681  4 N 2.14-2.17
11 Zr 0.4722 0.3670 0.6319  4 N 2.14-2.17
12 Zr 0.5278 0.6330 0.3681  4 N 2.14-2.17
13 S 0.8526 0.3770 0.8088  3 Zr 2.69-2.73, 3 Na 2.74-2.83
14 S 0.3526 0.1230 0.8088  3 Zr 2.69-2.73, 3 Na 2.74-2.83
15 S 0.6474 0.8770 0.1912  3 Zr 2.69-2.73, 3 Na 2.74-2.83
16 S 0.1474 0.6230 0.1912  3 Zr 2.69-2.73, 3 Na 2.74-2.83
17 N 0.4022 0.3668 0.4122  4 Zr 2.11-2.17
18 N 0.9022 0.1332 0.4122  4 Zr 2.11-2.17
19 N 0.3732 0.8854 0.4130  4 Zr 2.11-2.17
20 N 0.8732 0.6146 0.4130  4 Zr 2.11-2.17
21 N 0.6268 0.1146 0.5870  4 Zr 2.11-2.17
22 N 0.0978 0.8668 0.5878  4 Zr 2.11-2.17
23 N 0.5978 0.6332 0.5878  4 Zr 2.11-2.17
24 N 0.1268 0.3854 0.5870  4 Zr 2.11-2.17
25 Cl 0.6381 0.3703 0.1737  3 Na 2.71-2.80, 3 Zr 2.84-2.97
26 Cl 0.1381 0.1297 0.1737  3 Na 2.71-2.80, 3 Zr 2.84-2.97
27 Cl 0.8619 0.8703 0.8263  3 Na 2.71-2.80, 3 Zr 2.84-2.97
28 Cl 0.3619 0.6297 0.8263  3 Na 2.71-2.80, 3 Zr 2.84-2.97

---

x:
Here is an optimized crystal structure of NaZr2SN2Cl from Alexandria. Energies are from PBEsol.

Values from the calculation:
As for the calculated volume: 16.3 Å³/atom.

Unit cell a=3.6338 b=3.6338 c=10.1854 alpha=79.72 beta=79.72 gamma=60.00
With the nearest neighbours (Å) after each atom.
Fractional positions:
1 Na 0.0053 0.0053 0.9842  3 S 2.71, 3 Cl 2.85
2 S 0.3959 0.3959 0.8122  3 Zr 2.70, 3 Na 2.71
3 N 0.1374 0.1374 0.5878  4 Zr 2.04-2.17
4 N 0.8625 0.8625 0.4125  4 Zr 2.12-2.29
5 Zr 0.2057 0.2057 0.3829  4 N 2.04-2.12
6 Zr 0.7860 0.7860 0.6421  4 N 2.17-2.29
7 Cl 0.6073 0.6073 0.1781  3 Na 2.85, 3 Zr 2.93, 3 N 3.14

---

It is x that is the least stable of them.

---

w:
Here is an optimized crystal structure of PNCl2 from Alexandria. Energies are from PBEsol.

Values from the calculation:
As for the calculated volume: 20.0 Å³/atom.

Unit cell a=6.0038 b=6.1422 c=6.0038 alpha=60.74 beta=90.00 gamma=119.26
With the nearest neighbours (Å) after each atom.
Fractional positions:
1 P 0.0000 0.0000 0.0000  12 Cl 3.53-3.65, 4 P 3.73, 4 N 3.73
2 P 0.7500 0.5000 0.7500  12 Cl 3.53-3.65, 4 N 3.73, 4 P 3.73
3 N 0.5000 0.0000 0.5000  4 Cl 1.87
4 N 0.2500 0.5000 0.2500  4 Cl 1.87
5 Cl 0.3750 0.2500 0.3750  2 N 1.87
6 Cl 0.8750 0.2500 0.3750  2 N 1.87
7 Cl 0.3750 0.7500 0.3750  2 N 1.87
8 Cl 0.3750 0.7500 0.8750  2 N 1.87

---

x:
Here is an optimized crystal structure of PNCl2 from Alexandria. Energies are from PBEsol.

Values from the calculation:
As for the calculated volume: 25.4 Å³/atom.

Unit cell a=6.3745 b=13.2141 c=14.4952 alpha=90.00 beta=90.00 gamma=90.00
With the nearest neighbours (Å) after each atom.
Fractional positions:
1 Cl 0.4089 0.2500 0.3238  1 P 2.01
2 Cl 0.9089 0.7500 0.1762  1 P 2.01
3 Cl 0.5911 0.7500 0.6762  1 P 2.01
4 Cl 0.0911 0.2500 0.8238  1 P 2.01
5 Cl 0.8650 0.2500 0.4001  1 P 2.00
6 Cl 0.3650 0.7500 0.0999  1 P 2.00
7 Cl 0.1350 0.7500 0.5999  1 P 2.00
8 Cl 0.6350 0.2500 0.9001  1 P 2.00
9 Cl 0.1483 0.0673 0.5898  1 P 2.01
10 Cl 0.6483 0.9327 0.9102  1 P 2.01
11 Cl 0.8517 0.5673 0.4102  1 P 2.01
12 Cl 0.3517 0.4327 0.0898  1 P 2.01
13 Cl 0.8517 0.9327 0.4102  1 P 2.01
14 Cl 0.3517 0.0673 0.0898  1 P 2.01
15 Cl 0.1483 0.4327 0.5898  1 P 2.01
16 Cl 0.6483 0.5673 0.9102  1 P 2.01
17 Cl 0.5915 0.0587 0.6792  1 P 2.00
18 Cl 0.0915 0.9413 0.8208  1 P 2.00
19 Cl 0.4085 0.5587 0.3208  1 P 2.00
20 Cl 0.9085 0.4413 0.1792  1 P 2.00
21 Cl 0.4085 0.9413 0.3208  1 P 2.00
22 Cl 0.9085 0.0587 0.1792  1 P 2.00
23 Cl 0.5915 0.4413 0.6792  1 P 2.00
24 Cl 0.0915 0.5587 0.8208  1 P 2.00
25 N 0.3747 0.2500 0.6459  2 P 1.59
26 N 0.8747 0.7500 0.8541  2 P 1.59
27 N 0.6253 0.7500 0.3541  2 P 1.59
28 N 0.1253 0.2500 0.1459  2 P 1.59
29 N 0.5224 0.1464 0.4958  2 P 1.59
30 N 0.0224 0.8536 0.0042  2 P 1.59
31 N 0.4776 0.6464 0.5042  2 P 1.59
32 N 0.9776 0.3536 0.9958  2 P 1.59
33 N 0.4776 0.8536 0.5042  2 P 1.59
34 N 0.9776 0.1464 0.9958  2 P 1.59
35 N 0.5224 0.3536 0.4958  2 P 1.59
36 N 0.0224 0.6464 0.0042  2 P 1.59
37 P 0.5669 0.2500 0.4435  2 N 1.59
38 P 0.0669 0.7500 0.0565  2 N 1.59
39 P 0.4331 0.7500 0.5565  2 N 1.59
40 P 0.9331 0.2500 0.9435  2 N 1.59
41 P 0.4182 0.1451 0.5953  2 N 1.59
42 P 0.9182 0.8549 0.9047  2 N 1.59
43 P 0.5818 0.6451 0.4047  2 N 1.59
44 P 0.0818 0.3549 0.0953  2 N 1.59
45 P 0.5818 0.8549 0.4047  2 N 1.59
46 P 0.0818 0.1451 0.0953  2 N 1.59
47 P 0.4182 0.3549 0.5953  2 N 1.59
48 P 0.9182 0.6451 0.9047  2 N 1.59

---

It is w that is the least stable of them.